# 1
LaTiCo2: PBEsol geometry, SCAN.

Values from the calculation:
The calculation puts the total DFT energy (no corrections) at -23.15 eV/atom. The space group is No. 225. Its energy relative to the elements is 0.2866 eV per atom.

Cell lengths 4.496, 4.496, 4.496 Å; angles 60.00, 60.00, 60.00 degrees
Sites, in units of the cell vectors:
Co  0.250  0.250  0.250
Co  0.750  0.750  0.750
La  0.500  0.500  0.500
Ti  0.000  0.000  0.000

***

# 2
LaTl4Co: PBEsol geometry, SCAN.

Values from the calculation:
The calculation puts the total DFT energy (no corrections) at -58.05 eV/atom. The space group is No. 216. Its energy relative to the elements is 0.2582 eV per atom.

Cell lengths 6.060, 6.060, 6.060 Å; angles 60.00, 60.00, 60.00 degrees
Last column: magnetic moment on the atom in μB.
Sites, in units of the cell vectors:
Co  0.750  0.750  0.750  2.03
Tl  0.873  0.376  0.376  0.00
Tl  0.376  0.873  0.376  0.00
Tl  0.376  0.376  0.873  0.00
Tl  0.376  0.376  0.376  0.00
La  0.000  0.000  0.000  -0.04

***

# 3
LaTlCo: PBEsol geometry, SCAN.

Values from the calculation:
The calculation puts the total DFT energy (no corrections) at -43.78 eV/atom. The space group is No. 216. Its energy relative to the elements is 0.4750 eV per atom.

Cell lengths 4.892, 4.892, 4.892 Å; angles 60.00, 60.00, 60.00 degrees
Last column: magnetic moment on the atom in μB.
Sites, in units of the cell vectors:
Co  0.500  0.500  0.500  1.75
La  0.750  0.750  0.750  -0.14
Tl  0.000  0.000  0.000  -0.10

***

# 4
La4TlCo: PBEsol geometry, SCAN.

Values from the calculation:
The calculation puts the total DFT energy (no corrections) at -43.18 eV/atom. The space group is No. 216. Its energy relative to the elements is 0.5008 eV per atom.

Cell lengths 6.254, 6.254, 6.254 Å; angles 60.00, 60.00, 60.00 degrees
Last column: magnetic moment on the atom in μB.
Sites, in units of the cell vectors:
La  0.875  0.375  0.375  0.20
La  0.375  0.375  0.375  0.20
La  0.375  0.375  0.875  0.20
La  0.375  0.875  0.375  0.20
Tl  0.750  0.750  0.750  0.01
Co  0.000  0.000  0.000  2.27

***

# 5
La2VCo16: PBEsol geometry, SCAN.

Values from the calculation:
The calculation puts the total DFT energy (no corrections) at -20.00 eV/atom. The space group is No. 160. Its energy relative to the elements is 0.0286 eV per atom.

Cell lengths 6.238, 6.238, 6.238 Å; angles 83.09, 83.09, 83.09 degrees
Last column: magnetic moment on the atom in μB.
Sites, in units of the cell vectors:
Co  0.000  0.501  0.000  1.62
Co  0.501  0.000  0.000  1.62
Co  0.342  0.342  0.856  1.54
Co  0.712  0.999  0.286  1.69
Co  0.999  0.286  0.712  1.69
Co  0.144  0.658  0.658  1.64
Co  0.658  0.658  0.144  1.64
Co  0.286  0.999  0.712  1.69
Co  0.658  0.144  0.658  1.64
Co  0.000  0.000  0.501  1.62
Co  0.342  0.856  0.342  1.54
Co  0.286  0.712  0.999  1.69
Co  0.856  0.342  0.342  1.54
Co  0.999  0.712  0.286  1.69
Co  0.906  0.906  0.906  1.53
Co  0.712  0.286  0.999  1.69
La  0.654  0.654  0.654  -0.35
La  0.351  0.351  0.351  -0.32
V  0.093  0.093  0.093  -1.59

***

# 6
LaCo2W: PBEsol geometry, SCAN.

Values from the calculation:
The calculation puts the total DFT energy (no corrections) at -36.17 eV/atom. The space group is No. 123. Its energy relative to the elements is 0.6757 eV per atom.

Cell lengths 2.811, 4.694, 4.694 Å; angles 90.00, 90.00, 90.00 degrees
Sites, in units of the cell vectors:
La  0.500  0.500  0.500
Co  0.000  0.500  0.000
Co  0.000  0.000  0.500
W  0.500  0.000  0.000

***

# 7
LaCoW2: PBEsol geometry, SCAN.

Values from the calculation:
The calculation puts the total DFT energy (no corrections) at -49.18 eV/atom. The space group is No. 47. Its energy relative to the elements is 0.7693 eV per atom.

Cell lengths 3.072, 4.470, 5.112 Å; angles 90.00, 90.00, 90.00 degrees
Last column: magnetic moment on the atom in μB.
Sites, in units of the cell vectors:
W  0.500  0.500  0.000  0.10
W  0.000  0.000  0.000  0.12
Co  0.500  0.000  0.500  1.52
La  0.000  0.500  0.500  -0.10

***

# 8
LaCoW: PBEsol geometry, SCAN.

Values from the calculation:
The calculation puts the total DFT energy (no corrections) at -42.16 eV/atom. The space group is No. 216. Its energy relative to the elements is 1.2063 eV per atom.

Cell lengths 4.387, 4.387, 4.387 Å; angles 60.00, 60.00, 60.00 degrees
Sites, in units of the cell vectors:
W  0.250  0.250  0.250
Co  0.000  0.000  0.000
La  0.500  0.500  0.500